Record 1
VASP calculation (PBE) on a relaxed TbDy4In3 crystal.

Formation energy = -2.5 eV per formula unit
Electronic total energy = -0.3104 Ry per atom
Space-group type = R-3m, No. 166
Energy above the most stable polymorph in this dataset = 0 kJ/mol of formula units

Unit cell a=5.356 b=5.356 c=9.582 alpha=73.77 beta=73.77 gamma=60.00
Each line ends with the local moment (μB).
Atoms (fractional coordinates):
In 0.263 0.263 0.211  -0.01
In 0.737 0.737 0.789  -0.01
In 0.500 0.500 0.500  0.02
Tb 0.000 0.000 0.000  0.35
Dy 0.870 0.870 0.389  0.12
Dy 0.386 0.386 0.842  0.17
Dy 0.130 0.130 0.611  0.12
Dy 0.614 0.614 0.158  0.17


Record 2
VASP calculation (PBE) on a relaxed Sm2TmThSb5 crystal.

Electronic total energy = -0.3611 Ry per atom
Space-group type = P4/mmm, No. 123

Unit cell a=5.205 b=5.205 c=11.835 alpha=90.00 beta=90.00 gamma=90.00
Atoms (fractional coordinates):
Sm 0.500 0.500 0.285
Sm 0.500 0.500 0.715
Tm 0.000 0.000 0.500
Th 0.000 0.000 0.000
Sb 0.000 0.500 0.500
Sb 0.500 0.000 0.500
Sb 0.000 0.000 0.750
Sb 0.000 0.000 0.250
Sb 0.500 0.500 0.000


Record 3
VASP calculation (PBE) on a relaxed YC3 crystal.

Formation energy = 7.2 eV per formula unit
Electronic total energy = -0.4941 Ry per atom
Space-group type = R-3m, No. 166
Energy above the most stable polymorph in this dataset = 598 kJ/mol of formula units

Unit cell a=4.565 b=4.565 c=4.565 alpha=43.93 beta=43.93 gamma=43.93
Atoms (fractional coordinates):
Y 0.000 0.000 0.000
C 0.799 0.799 0.799
C 0.500 0.500 0.500
C 0.201 0.201 0.201


Record 4
VASP calculation (PBE) on a relaxed LiSbAuI2 crystal.

Electronic total energy = -0.1755 Ry per atom
Space-group type = P4/mmm, No. 123
Energy above the most stable polymorph in this dataset = 0 kJ/mol of formula units

Unit cell a=5.928 b=5.928 c=5.335 alpha=90.00 beta=90.00 gamma=90.00
Each line ends with the local moment (μB).
Atoms (fractional coordinates):
I 0.000 0.500 0.000  0.07
I 0.500 0.000 0.000  0.07
Sb 0.000 0.000 0.500  0.43
Au 0.000 0.000 0.000  0.06
Li 0.500 0.500 0.500  0.00